# BaCdSiPd3

Crystalline BaCdSiPd3 at its relaxed geometry (PBE, Alexandria).

a = 6.1887 Å, b = 7.3864 Å, c = 7.3416 Å
α = 120.20°, β = 90.00°, γ = 90.00°
Sites, in units of the cell vectors:
Ba 0.7500 0.2253 0.4505
Ba 0.2500 0.7747 0.5495
Cd 0.7500 0.5189 0.0378
Cd 0.2500 0.4811 0.9622
Si 0.2500 0.0858 0.1716
Si 0.7500 0.9142 0.8284
Pd 0.5000 0.1949 0.0000
Pd 0.5000 0.8051 0.0000
Pd 0.0000 0.8051 0.0000
Pd 0.0000 0.1949 0.0000
Pd 0.2500 0.2675 0.5350
Pd 0.7500 0.7325 0.4650

Properties
VASP energy: -4.472 eV/atom
Spin magnetization: 0.00 μB per atom



# Ba2CdSi3Pd12

Crystalline Ba2CdSi3Pd12 at its relaxed geometry (PBE, Alexandria).

a = 7.7271 Å, b = 7.7271 Å, c = 7.7271 Å
α = 67.86°, β = 67.86°, γ = 67.86°
Sites, in units of the cell vectors:
Pd 0.6219 0.1314 0.1314
Pd 0.1314 0.1314 0.6219
Pd 0.8686 0.3781 0.8686
Pd 0.1314 0.6219 0.1314
Pd 0.0891 0.6669 0.6669
Pd 0.3331 0.3331 0.9109
Pd 0.3331 0.9109 0.3331
Pd 0.8686 0.8686 0.3781
Pd 0.9109 0.3331 0.3331
Pd 0.6669 0.0891 0.6669
Pd 0.3781 0.8686 0.8686
Pd 0.6669 0.6669 0.0891
Ba 0.3927 0.3927 0.3927
Ba 0.6073 0.6073 0.6073
Si 0.5000 0.0000 0.0000
Si 0.0000 0.0000 0.5000
Si 0.0000 0.5000 0.0000
Cd 0.0000 0.0000 0.0000

Properties
VASP energy: -4.913 eV/atom
Spin magnetization: 0.00 μB per atom



# BaCdSn2Pd5

Crystalline BaCdSn2Pd5 at its relaxed geometry (PBE, Alexandria).

a = 5.0829 Å, b = 5.0829 Å, c = 8.5283 Å
α = 90.00°, β = 90.00°, γ = 90.00°
Sites, in units of the cell vectors:
Ba 0.0000 0.0000 0.5000
Sn 0.5000 0.5000 0.7994
Sn 0.5000 0.5000 0.2006
Pd 0.5000 0.0000 0.8415
Pd 0.5000 0.5000 0.5000
Pd 0.0000 0.5000 0.8415
Pd 0.0000 0.5000 0.1585
Pd 0.5000 0.0000 0.1585
Cd 0.0000 0.0000 0.0000

Properties
Formation energy: -289 meV per atom
Spin magnetization: 0.00 μB per atom



# Ba2CdSnPd

Crystalline Ba2CdSnPd at its relaxed geometry (PBE, Alexandria).

a = 6.1844 Å, b = 6.1844 Å, c = 5.0982 Å
α = 90.00°, β = 90.00°, γ = 90.00°
Sites, in units of the cell vectors:
Ba 0.0000 0.5000 0.0000
Ba 0.5000 0.0000 0.0000
Pd 0.0000 0.0000 0.0000
Cd 0.5000 0.5000 0.5000
Sn 0.0000 0.0000 0.5000

Properties
Formation energy: -430 meV per atom
Spin magnetization: 0.00 μB per atom



# BaCdSnPd3

Crystalline BaCdSnPd3 at its relaxed geometry (PBE, Alexandria).

a = 6.7718 Å, b = 6.9469 Å, c = 7.2844 Å
α = 118.48°, β = 90.00°, γ = 90.00°
Sites, in units of the cell vectors:
Pd 0.5000 0.2936 0.0000
Pd 0.0000 0.7064 0.0000
Pd 0.2500 0.1783 0.3567
Pd 0.5000 0.7064 0.0000
Pd 0.7500 0.8217 0.6433
Pd 0.0000 0.2936 0.0000
Ba 0.7500 0.2981 0.5962
Ba 0.2500 0.7019 0.4038
Cd 0.2500 0.9655 0.9310
Cd 0.7500 0.0345 0.0690
Sn 0.2500 0.3822 0.7645
Sn 0.7500 0.6178 0.2355

Properties
Formation energy: -397 meV per atom
Spin magnetization: 0.00 μB per atom



# Ba2CdSn3Pd4

Crystalline Ba2CdSn3Pd4 at its relaxed geometry (PBE, Alexandria).

a = 4.8413 Å, b = 4.8413 Å, c = 10.6607 Å
α = 90.00°, β = 90.00°, γ = 90.00°
Sites, in units of the cell vectors:
Pd 0.5000 0.0000 0.6290
Pd 0.0000 0.5000 0.3710
Pd 0.5000 0.5000 0.0000
Pd 0.0000 0.0000 0.0000
Ba 0.0000 0.5000 0.7532
Ba 0.5000 0.0000 0.2468
Sn 0.0000 0.0000 0.5000
Sn 0.0000 0.5000 0.1165
Sn 0.5000 0.0000 0.8835
Cd 0.5000 0.5000 0.5000

Properties
Formation energy: -671 meV per atom
Spin magnetization: 0.00 μB per atom



# Ba2CdSn4Pd3

Crystalline Ba2CdSn4Pd3 at its relaxed geometry (PBE, Alexandria).

a = 4.7912 Å, b = 4.7912 Å, c = 11.2754 Å
α = 90.00°, β = 90.00°, γ = 90.00°
Sites, in units of the cell vectors:
Ba 0.5000 0.0000 0.2498
Ba 0.0000 0.5000 0.7502
Pd 0.5000 0.0000 0.8790
Pd 0.0000 0.0000 0.5000
Pd 0.0000 0.5000 0.1210
Sn 0.5000 0.5000 0.0000
Sn 0.5000 0.0000 0.6378
Sn 0.0000 0.5000 0.3622
Sn 0.0000 0.0000 0.0000
Cd 0.5000 0.5000 0.5000

Properties
Formation energy: -634 meV per atom
Spin magnetization: 0.00 μB per atom



# BaCd2SnPd4

Crystalline BaCd2SnPd4 at its relaxed geometry (PBE, Alexandria).

a = 4.6322 Å, b = 4.6322 Å, c = 9.8648 Å
α = 76.42°, β = 76.42°, γ = 60.00°
Sites, in units of the cell vectors:
Pd 0.1337 0.1337 0.5988
Pd 0.4074 0.4074 0.7779
Pd 0.8663 0.8663 0.4012
Pd 0.5926 0.5926 0.2221
Sn 0.5000 0.5000 0.5000
Cd 0.7606 0.7606 0.7183
Cd 0.2394 0.2394 0.2817
Ba 0.0000 0.0000 0.0000

Properties
Formation energy: -437 meV per atom
Spin magnetization: 0.00 μB per atom



# BaCd2SnPd2

Crystalline BaCd2SnPd2 at its relaxed geometry (PBE, Alexandria).

a = 5.0458 Å, b = 5.0458 Å, c = 6.5482 Å
α = 90.00°, β = 90.00°, γ = 90.00°
Sites, in units of the cell vectors:
Cd 0.5000 0.5000 0.2435
Cd 0.5000 0.5000 0.7565
Pd 0.0000 0.5000 0.0000
Pd 0.5000 0.0000 0.0000
Ba 0.0000 0.0000 0.5000
Sn 0.0000 0.0000 0.0000

Properties
Formation energy: -323 meV per atom
Spin magnetization: 0.00 μB per atom



# BaCdSn2Pd

Crystalline BaCdSn2Pd at its relaxed geometry (PBE, Alexandria).

a = 4.8253 Å, b = 4.8253 Å, c = 6.8012 Å
α = 110.78°, β = 110.78°, γ = 90.00°
Sites, in units of the cell vectors:
Sn 0.3751 0.3751 0.7501
Sn 0.6249 0.6249 0.2499
Ba 0.0000 0.0000 0.0000
Pd 0.7500 0.2500 0.5000
Cd 0.2500 0.7500 0.5000

Properties
Formation energy: -515 meV per atom
Spin magnetization: 0.00 μB per atom



# Ba2SrCdPd

Crystalline Ba2SrCdPd at its relaxed geometry (PBE, Alexandria).

a = 6.2033 Å, b = 6.2033 Å, c = 5.9077 Å
α = 90.00°, β = 90.00°, γ = 90.00°
Sites, in units of the cell vectors:
Ba 0.5000 0.0000 0.0000
Ba 0.0000 0.5000 0.0000
Pd 0.0000 0.0000 0.0000
Cd 0.5000 0.5000 0.5000
Sr 0.0000 0.0000 0.5000

Properties
Formation energy: -269 meV per atom
Spin magnetization: 0.00 μB per atom



# BaSrCd2Pd

Crystalline BaSrCd2Pd at its relaxed geometry (PBE, Alexandria).

a = 5.4806 Å, b = 5.4806 Å, c = 5.5077 Å
α = 90.00°, β = 90.00°, γ = 90.00°
Sites, in units of the cell vectors:
Cd 0.5000 0.0000 0.0000
Cd 0.0000 0.5000 0.0000
Pd 0.0000 0.0000 0.0000
Sr 0.0000 0.0000 0.5000
Ba 0.5000 0.5000 0.5000

Properties
Formation energy: -298 meV per atom
Spin magnetization: 0.00 μB per atom



# BaSr2CdPd

Crystalline BaSr2CdPd at its relaxed geometry (PBE, Alexandria).

a = 5.9238 Å, b = 5.9238 Å, c = 5.5305 Å
α = 90.00°, β = 90.00°, γ = 90.00°
Sites, in units of the cell vectors:
Sr 0.0000 0.5000 0.0000
Sr 0.5000 0.0000 0.0000
Pd 0.0000 0.0000 0.0000
Ba 0.5000 0.5000 0.5000
Cd 0.0000 0.0000 0.5000

Properties
Formation energy: -259 meV per atom
Spin magnetization: 0.00 μB per atom



# BaSr2CdPd

Crystalline BaSr2CdPd at its relaxed geometry (PBE, Alexandria).

a = 5.9163 Å, b = 5.9163 Å, c = 6.1878 Å
α = 90.00°, β = 90.00°, γ = 90.00°
Sites, in units of the cell vectors:
Ba 0.0000 0.0000 0.5000
Cd 0.5000 0.5000 0.5000
Pd 0.0000 0.0000 0.0000
Sr 0.5000 0.0000 0.0000
Sr 0.0000 0.5000 0.0000

Properties
Formation energy: -282 meV per atom
Spin magnetization: 0.00 μB per atom



# Ba2SrCdPd

Crystalline Ba2SrCdPd at its relaxed geometry (PBE, Alexandria).

a = 6.2115 Å, b = 6.2115 Å, c = 5.5004 Å
α = 90.00°, β = 90.00°, γ = 90.00°
Sites, in units of the cell vectors:
Cd 0.0000 0.0000 0.5000
Ba 0.5000 0.0000 0.0000
Ba 0.0000 0.5000 0.0000
Pd 0.0000 0.0000 0.0000
Sr 0.5000 0.5000 0.5000

Properties
Formation energy: -217 meV per atom
Spin magnetization: 0.00 μB per atom



# BaTa2CdPd

Crystalline BaTa2CdPd at its relaxed geometry (PBE, Alexandria).

a = 5.0649 Å, b = 5.3104 Å, c = 5.0649 Å
α = 90.00°, β = 90.00°, γ = 90.00°
Sites, in units of the cell vectors:
Pd 0.0000 0.0000 0.0000
Ba 0.5000 0.5000 0.5000
Cd 0.0000 0.5000 0.0000
Ta 0.5000 0.0000 0.0000
Ta 0.0000 0.0000 0.5000

Properties
Formation energy: 936 meV per atom
Spin magnetization: 0.55 μB per atom



# Ba2CdTePd

Crystalline Ba2CdTePd at its relaxed geometry (PBE, Alexandria).

a = 6.0466 Å, b = 6.0466 Å, c = 5.1943 Å
α = 90.00°, β = 90.00°, γ = 90.00°
Sites, in units of the cell vectors:
Pd 0.0000 0.0000 0.0000
Te 0.5000 0.5000 0.5000
Ba 0.0000 0.5000 0.0000
Ba 0.5000 0.0000 0.0000
Cd 0.0000 0.0000 0.5000

Properties
VASP energy: -3.415 eV/atom
Spin magnetization: 0.00 μB per atom



# BaTl2CdPd

Crystalline BaTl2CdPd at its relaxed geometry (PBE, Alexandria).

a = 5.3967 Å, b = 5.3967 Å, c = 5.9238 Å
α = 90.00°, β = 90.00°, γ = 90.00°
Sites, in units of the cell vectors:
Ba 0.0000 0.0000 0.5000
Tl 0.5000 0.0000 0.0000
Tl 0.0000 0.5000 0.0000
Cd 0.5000 0.5000 0.5000
Pd 0.0000 0.0000 0.0000

Properties
Formation energy: -174 meV per atom
Spin magnetization: 0.00 μB per atom



# Ba2TlCdPd

Crystalline Ba2TlCdPd at its relaxed geometry (PBE, Alexandria).

a = 6.0981 Å, b = 6.0981 Å, c = 5.2662 Å
α = 90.00°, β = 90.00°, γ = 90.00°
Sites, in units of the cell vectors:
Ba 0.5000 0.0000 0.0000
Ba 0.0000 0.5000 0.0000
Tl 0.5000 0.5000 0.5000
Cd 0.0000 0.0000 0.5000
Pd 0.0000 0.0000 0.0000

Properties
Formation energy: -317 meV per atom
Spin magnetization: 0.00 μB per atom



# Ba2TlCdPd

Crystalline Ba2TlCdPd at its relaxed geometry (PBE, Alexandria).

a = 6.1354 Å, b = 6.1354 Å, c = 5.2809 Å
α = 90.00°, β = 90.00°, γ = 90.00°
Sites, in units of the cell vectors:
Ba 0.0000 0.5000 0.0000
Ba 0.5000 0.0000 0.0000
Cd 0.5000 0.5000 0.5000
Pd 0.0000 0.0000 0.0000
Tl 0.0000 0.0000 0.5000

Properties
Formation energy: -313 meV per atom
Spin magnetization: 0.00 μB per atom